1.
Below is Na2PmMnSe4 after structural relaxation, with properties calculated at the PBE level.

- formation energy (no corrections) (kJ per mole of atoms) = -110

Cell: 8.304 8.304 8.304 Å, 123.28 118.66 88.37°
Element x y z (fractional)
1 Na 0.000 0.000 0.000
2 Na 0.500 0.000 0.000
3 Na 0.500 0.000 0.500
4 Na 0.500 0.500 0.500
5 Pm 0.000 0.500 0.500
6 Pm 0.500 0.500 0.000
7 Mn 0.000 0.000 0.500
8 Mn 0.000 0.500 0.000
9 Se 0.196 0.250 0.946
10 Se 0.196 0.750 0.446
11 Se 0.254 0.255 0.501
12 Se 0.254 0.754 0.999
13 Se 0.746 0.246 0.001
14 Se 0.746 0.745 0.499
15 Se 0.804 0.250 0.554
16 Se 0.804 0.750 0.054

=====

2.
Below is Na2PmMnTe4 after structural relaxation, with properties calculated at the PBE level.

- formation energy (no corrections) (kJ per mole of atoms) = -80

Cell: 7.461 4.335 7.978 Å, 90.00 108.12 90.00°
Element x y z (fractional)
1 Na 0.000 0.000 0.000
2 Na 0.500 0.500 0.000
3 Pm 0.000 0.500 0.500
4 Mn 0.500 0.000 0.500
5 Te 0.269 0.000 0.728
6 Te 0.284 0.500 0.284
7 Te 0.716 0.500 0.716
8 Te 0.731 0.000 0.272

=====

3.
Below is Na3Pm2MnTe6 after structural relaxation, with properties calculated at the PBE level.

- formation energy (no corrections) (kJ per mole of atoms) = -95

Cell: 7.642 7.642 7.944 Å, 99.17 99.17 120.31°
Element x y z (fractional)
1 Na 0.000 0.000 0.000
2 Na 0.327 0.673 0.000
3 Na 0.673 0.327 0.000
4 Pm 0.167 0.833 0.500
5 Pm 0.833 0.167 0.500
6 Mn 0.500 0.500 0.500
7 Te 0.113 0.422 0.270
8 Te 0.274 0.274 0.721
9 Te 0.422 0.113 0.270
10 Te 0.578 0.887 0.730
11 Te 0.726 0.726 0.279
12 Te 0.887 0.578 0.730

=====

4.
Below is Na2PrMnS4 after structural relaxation, with properties calculated at the PBE level.

- formation energy (no corrections) (kJ per mole of atoms) = -117

Cell: 8.010 8.010 8.010 Å, 124.25 117.93 88.22°
Element x y z (fractional)
1 Na 0.000 0.000 0.000
2 Na 0.500 0.000 0.000
3 Na 0.500 0.000 0.500
4 Na 0.500 0.500 0.500
5 Pr 0.000 0.500 0.500
6 Pr 0.500 0.500 0.000
7 Mn 0.000 0.000 0.500
8 Mn 0.000 0.500 0.000
9 S 0.188 0.249 0.939
10 S 0.190 0.751 0.439
11 S 0.258 0.256 0.498
12 S 0.258 0.759 0.002
13 S 0.742 0.241 0.998
14 S 0.742 0.744 0.502
15 S 0.810 0.249 0.561
16 S 0.812 0.751 0.061

=====

5.
Below is Na2PrMnSe4 after structural relaxation, with properties calculated at the PBE level.

- formation energy (no corrections) (kJ per mole of atoms) = -108

Cell: 6.993 4.117 7.403 Å, 90.00 108.65 90.00°
Element x y z (fractional)
1 Na 0.000 0.000 0.000
2 Na 0.500 0.500 0.000
3 Pr 0.000 0.500 0.500
4 Mn 0.500 0.000 0.500
5 Se 0.279 0.000 0.725
6 Se 0.284 0.500 0.281
7 Se 0.716 0.500 0.719
8 Se 0.721 0.000 0.275

=====

6.
Below is Na3Pr2MnSe6 after structural relaxation, with properties calculated at the PBE level.

- formation energy (no corrections) (kJ per mole of atoms) = -125

Cell: 7.226 7.226 7.398 Å, 99.23 99.23 120.33°
Element x y z (fractional)
1 Na 0.000 0.000 0.000
2 Na 0.331 0.669 0.000
3 Na 0.669 0.331 0.000
4 Pr 0.168 0.832 0.500
5 Pr 0.832 0.168 0.500
6 Mn 0.500 0.500 0.500
7 Se 0.112 0.420 0.267
8 Se 0.280 0.280 0.716
9 Se 0.420 0.112 0.267
10 Se 0.580 0.888 0.733
11 Se 0.720 0.720 0.284
12 Se 0.888 0.580 0.733

=====

7.
Below is Na3MnPt after structural relaxation, with properties calculated at the PBE level.

- energy relative to the elements (eV/f.u.) = 5.47
- offset from the most stable computed form (eV/atom) = 0.486

Cell: 5.316 5.316 5.316 Å, 90.00 90.00 90.00°
Element x y z (fractional)
1 Na 0.000 0.000 0.500
2 Na 0.000 0.500 0.000
3 Na 0.500 0.000 0.000
4 Mn 0.000 0.000 0.000
5 Pt 0.500 0.500 0.500

=====

8.
Below is NaMn3Pt after structural relaxation, with properties calculated at the PBE level.

- energy relative to the elements (eV/f.u.) = 2.88
- offset from the most stable computed form (eV/atom) = 0.000

Cell: 4.979 4.979 4.979 Å, 90.00 90.00 90.00°
Element x y z (fractional)
1 Na 0.000 0.000 0.000
2 Mn 0.000 0.500 0.500
3 Mn 0.500 0.000 0.500
4 Mn 0.500 0.500 0.000
5 Pt 0.500 0.500 0.500

=====

Number 1: VASP energy -4.95 eV/atom, magnetization 8.0 μB per cell. Number 2: VASP energy -4.47 eV/atom, magnetization 4.0 μB per cell. Number 3: VASP energy -4.44 eV/atom, magnetization 4.0 μB per cell. Number 4: VASP energy -5.35 eV/atom, magnetization 8.0 μB per cell. Number 5: VASP energy -4.94 eV/atom, magnetization 4.0 μB per cell. Number 6: VASP energy -4.93 eV/atom, magnetization 4.0 μB per cell. Number 7: VASP energy -2.74 eV/atom, magnetization 4.2 μB per cell. Number 8: VASP energy -6.40 eV/atom, magnetization 13.6 μB per cell.